1.
Material: AlTl2Rh
Method: DFT, PBE
State: relaxed

Cell: 4.8896 4.8896 4.8896 Å, 60.00 60.00 60.00°
Fractional coordinates of all 4 atoms:
Al (0.0000, 0.0000, 0.0000)
Tl (0.2500, 0.2500, 0.2500)
Tl (0.7500, 0.7500, 0.7500)
Rh (0.5000, 0.5000, 0.5000)

Distance to the lowest polymorph of the same formula   477.0 meV per atom
E   -3.649 eV per atom
Calculated formation energy   0.31 eV/atom
Space group   Fm-3m (225)
N(E_F)   0.6517 states/eV per atom
Total magnetic moment   0.000 μB/atom
Crystal system   cubic

2.
Material: AlTlRh2
Method: DFT, PBE
State: relaxed

Cell: 5.7251 5.7251 5.7251 Å, 104.84 104.84 119.19°
Fractional coordinates of all 8 atoms:
Al (0.0000, 0.0000, 0.0000)
Al (0.7500, 0.2500, 0.5000)
Tl (0.2500, 0.7500, 0.5000)
Tl (0.5000, 0.5000, 0.0000)
Rh (0.0848, 0.1250, 0.4598)
Rh (0.3750, 0.9152, 0.0402)
Rh (0.6652, 0.6250, 0.5402)
Rh (0.8750, 0.3348, 0.9598)

E   -5.232 eV per atom
Calculated formation energy   -0.03 eV/atom
Space group   I-42d (122)
N(E_F)   0.3099 states/eV per atom
Total magnetic moment   0.000 μB/atom
Crystal system   tetragonal

3.
Material: AlTl2Rh
Method: DFT, PBE
State: relaxed

Cell: 7.8422 7.8422 4.0380 Å, 104.84 104.84 22.42°
Fractional coordinates of all 4 atoms:
Al (0.0000, 0.0000, 0.0000)
Tl (0.1735, 0.1735, 0.6734)
Tl (0.8265, 0.8265, 0.3266)
Rh (0.5000, 0.5000, 0.5000)

Distance to the lowest polymorph of the same formula   0.0 meV per atom
E   -4.126 eV per atom
Calculated formation energy   -0.17 eV/atom
Space group   C2/m (12)
N(E_F)   0.2617 states/eV per atom
Total magnetic moment   0.000 μB/atom
Crystal system   monoclinic

4.
Material: AlTlRh2
Method: DFT, PBE
State: relaxed

Cell: 8.5685 8.5685 8.5685 Å, 20.35 20.35 20.35°
Fractional coordinates of all 4 atoms:
Al (0.0000, 0.0000, 0.0000)
Tl (0.5000, 0.5000, 0.5000)
Rh (0.2602, 0.2602, 0.2602)
Rh (0.7398, 0.7398, 0.7398)

E   -5.462 eV per atom
Calculated formation energy   -0.26 eV/atom
Space group   R-3m (166)
N(E_F)   0.3635 states/eV per atom
Total magnetic moment   0.000 μB/atom
Crystal system   trigonal

5.
Material: AlTl2Rh
Method: DFT, PBE
State: relaxed

Cell: 5.2592 5.2592 5.2592 Å, 130.90 130.90 71.98°
Fractional coordinates of all 4 atoms:
Al (0.0000, 0.0000, 0.0000)
Tl (0.5000, 0.5000, 0.0000)
Tl (0.7500, 0.2500, 0.5000)
Rh (0.2500, 0.7500, 0.5000)

Distance to the lowest polymorph of the same formula   432.5 meV per atom
E   -3.693 eV per atom
Calculated formation energy   0.26 eV/atom
Space group   I-4m2 (119)
N(E_F)   0.6973 states/eV per atom
Total magnetic moment   0.000 μB/atom
Crystal system   tetragonal

6.
Material: Al2TlRh
Method: DFT, PBE
State: relaxed

Cell: 3.3899 3.3899 6.3740 Å, 90.00 90.00 90.00°
Fractional coordinates of all 4 atoms:
Al (0.0000, 0.0000, 0.0000)
Al (0.5000, 0.5000, 0.2522)
Tl (0.5000, 0.5000, 0.7121)
Rh (0.0000, 0.0000, 0.3854)

Distance to the lowest polymorph of the same formula   192.0 meV per atom
E   -4.468 eV per atom
Calculated formation energy   -0.17 eV/atom
Space group   P4mm (99)
N(E_F)   0.4545 states/eV per atom
Total magnetic moment   0.000 μB/atom
Crystal system   tetragonal